[1]
Material: TcSb2As
Method: DFT, meta-GGA SCAN
State: single point on PBEsol structure

Results
- relative energy among the computed polymorphs (meV per atom) = 489
- SG = Cmmm, No. 65
- E_form (uncorrected) (meV per atom) = 561
- V (A^3/atom) = 20.45

abc: 3.044 3.044 9.504
angles: 90.00 90.00 111.80
Sites, in units of the cell vectors:
Sb1 0.000 0.000 0.281
Sb2 0.000 0.000 0.719
Tc1 0.500 0.500 0.500
As1 0.500 0.500 0.000

---

[2]
Material: SrFe2Se
Method: DFT, meta-GGA SCAN
State: single point on PBEsol structure

Results
- SG = R-3m, No. 166
- E_form (uncorrected) (meV per atom) = -79
- V (A^3/atom) = 19.62

abc: 4.109 4.109 5.870
angles: 69.46 69.46 60.00
Each line ends with the local moment (μB).
Sites, in units of the cell vectors:
Fe1 0.682 0.682 0.455  2.26
Fe2 0.318 0.318 0.545  2.26
Se1 0.000 0.000 0.500  0.02
Sr1 0.500 0.500 0.000  -0.17

---

[3]
Material: YCd2Cl
Method: DFT, meta-GGA SCAN
State: single point on PBEsol structure

Results
- relative energy among the computed polymorphs (meV per atom) = 35
- SG = I4/mmm, No. 139
- E_form (uncorrected) (meV per atom) = -655
- V (A^3/atom) = 22.33

abc: 3.962 3.962 6.343
angles: 108.20 108.20 90.00
Sites, in units of the cell vectors:
Cd1 0.750 0.250 0.500
Cd2 0.250 0.750 0.500
Y1 0.000 0.000 0.000
Cl1 0.500 0.500 0.000

---

[4]
Material: TcPBr2
Method: DFT, meta-GGA SCAN
State: single point on PBEsol structure

Results
- relative energy among the computed polymorphs (meV per atom) = 421
- SG = P4mm, No. 99
- E_form (uncorrected) (meV per atom) = 329
- V (A^3/atom) = 19.27

abc: 3.217 3.217 7.445
angles: 90.00 90.00 90.00
Sites, in units of the cell vectors:
P1 0.000 0.000 0.560
Br1 0.500 0.500 0.322
Br2 0.000 0.000 0.939
Tc1 0.500 0.500 0.679